Computed, not measured: a geometry-optimized Fe2BiTe2 structure at the GGA-PBE level of DFT.

Unit cell a=4.5201 b=4.5201 c=10.6123 alpha=90.00 beta=90.00 gamma=90.00
Atoms (fractional coordinates):
Fe  0.0000  0.5000  0.2500
Fe  0.0000  0.5000  0.7500
Fe  0.5000  0.0000  0.2500
Fe  0.5000  0.0000  0.7500
Bi  0.0000  0.0000  0.0000
Bi  0.5000  0.5000  0.5000
Te  0.0000  0.0000  0.3547
Te  0.0000  0.0000  0.6453
Te  0.5000  0.5000  0.1453
Te  0.5000  0.5000  0.8547

Properties
total moment = 4.94 μB per cell
uncorrected energy = -5.017 eV/atom